{
  "formula": "GaW",
  "functional": "GGA-PBE",
  "state": "relaxed",
  "lattice_angstrom": [[-3.245, -0.879, 3.889], [-0.852, -4.745, -1.784], [3.852, -1.751, 2.818]],
  "species": ["Ga", "Ga", "Ga", "Ga", "W", "W", "W", "W"],
  "frac_coords": [[0.197, 0.803, 0.000], [0.697, 0.697, 0.500], [0.303, 0.303, 0.500], [0.803, 0.197, 0.000], [0.306, 0.306, 0.000], [0.806, 0.194, 0.500], [0.194, 0.806, 0.500], [0.694, 0.694, 0.000]],
  "sg": "No. 136",
  "delta_e_f_mev_per_atom": 809
}

{
  "formula": "In2NiAg2",
  "functional": "GGA-PBE",
  "state": "relaxed",
  "lattice_angstrom": [[6.833, 0.000, 0.000], [0.000, 6.833, 0.000], [0.000, 0.000, 4.347]],
  "species": ["Ni", "Ni", "Ag", "Ag", "Ag", "Ag", "In", "In", "In", "In"],
  "frac_coords": [[0.000, 0.000, 0.000], [0.500, 0.500, 0.000], [0.150, 0.650, 0.500], [0.650, 0.850, 0.500], [0.850, 0.350, 0.500], [0.350, 0.150, 0.500], [0.341, 0.841, 0.000], [0.841, 0.659, 0.000], [0.659, 0.159, 0.000], [0.159, 0.341, 0.000]],
  "sg": "No. 127",
  "delta_e_f_mev_per_atom": 215
}

{
  "formula": "AlCdPb2",
  "functional": "GGA-PBE",
  "state": "relaxed",
  "lattice_angstrom": [[4.738, 0.000, 0.000], [0.000, 4.746, 0.000], [0.000, 0.000, 4.738]],
  "species": ["Pb", "Pb", "Al", "Cd"],
  "frac_coords": [[0.000, 0.000, 0.000], [0.500, 0.500, 0.000], [0.500, 0.000, 0.500], [0.000, 0.500, 0.500]],
  "sg": "No. 123",
  "delta_e_f_mev_per_atom": 180
}

{
  "formula": "Pm3PaGe4",
  "functional": "GGA-PBE",
  "state": "relaxed",
  "lattice_angstrom": [[4.244, 0.000, 0.000], [0.000, 7.318, -0.075], [0.000, -2.378, 6.921]],
  "species": ["Pm", "Pm", "Pm", "Pa", "Ge", "Ge", "Ge", "Ge"],
  "frac_coords": [[0.000, 0.000, 0.500], [0.500, 0.500, 0.500], [0.000, 0.500, 0.000], [0.500, 0.000, 0.000], [0.000, 0.238, 0.238], [0.500, 0.756, 0.244], [0.000, 0.762, 0.762], [0.500, 0.244, 0.756]],
  "sg": "No. 65",
  "delta_e_f_mev_per_atom": -644
}